This record from Alexandria via LeMat-Bulk describes K2Tm2MoO6 after structural relaxation. The functional is GGA+U.

For the energy, the calculation gives -6.9083 eV/atom. The space-group type is C2/m (12). The volume comes out at 181 Å³/cell.

```
K2Tm2MoO6
1.0
2.903 -4.943 0.000
2.903 4.943 0.000
-1.887 0.000 6.322
K Tm Mo O
2 2 1 6
Cartesian
2.903 3.319 0.000
2.903 -3.319 0.000
1.959 1.615 3.161
1.959 -1.615 3.161
-0.944 0.000 3.161
-0.048 1.559 4.235
0.915 0.000 2.045
-0.048 -1.559 4.235
3.966 1.559 2.088
3.003 0.000 4.277
3.966 -1.559 2.088
```